i | Compound: Li2CuNiF6
Source: the Alexandria database
Functional: GGA+U
Structure: optimized geometry

Unit cell a=5.054 b=5.180 c=8.073 alpha=90.00 beta=88.26 gamma=90.00
Fractional coordinates of all 20 atoms:
Li 0.007 0.965 0.238
Li 0.493 0.465 0.262
Li 0.507 0.535 0.738
Li 0.993 0.035 0.762
Cu 0.000 0.500 0.000
Cu 0.500 0.000 0.500
Ni 0.000 0.500 0.500
Ni 0.500 0.000 0.000
F 0.859 0.391 0.724
F 0.839 0.180 0.062
F 0.820 0.175 0.410
F 0.680 0.675 0.090
F 0.661 0.680 0.438
F 0.641 0.891 0.776
F 0.359 0.109 0.224
F 0.339 0.320 0.562
F 0.320 0.325 0.910
F 0.161 0.820 0.938
F 0.180 0.825 0.590
F 0.141 0.609 0.276

Computed properties:
crystal system: monoclinic
M_tot: 0.30 μB/atom
space-group type: No. 14


ii | Compound: Li2CuNiF6
Source: the Alexandria database
Functional: GGA+U
Structure: optimized geometry

Unit cell a=5.615 b=5.615 c=5.615 alpha=60.00 beta=60.00 gamma=60.00
Fractional coordinates of all 10 atoms:
Li 0.250 0.250 0.250
Li 0.750 0.750 0.750
Cu 0.500 0.500 0.500
Ni 0.000 0.000 0.000
F 0.250 0.250 0.750
F 0.250 0.750 0.750
F 0.750 0.750 0.250
F 0.250 0.750 0.250
F 0.750 0.250 0.750
F 0.750 0.250 0.250

Computed properties:
crystal system: cubic
M_tot: 0.30 μB/atom
space-group type: No. 225
Fermi-level density of states: 5.33 states/eV/cell


Bottom line: i, by a margin of 231 meV per atom.